--- one ---
# CaScRe, optimized geometry, DFT PBE
data_CaScRe
_symmetry_space_group_name_H-M 'P 1'
_symmetry_Int_Tables_number 1
_cell_length_a 4.701
_cell_length_b 4.701
_cell_length_c 4.701
_cell_angle_alpha 60.00
_cell_angle_beta 60.00
_cell_angle_gamma 60.00
loop_
_symmetry_equiv_pos_as_xyz
'x,y,z'
loop_
_atom_site_label
_atom_site_type_symbol
_atom_site_fract_x
_atom_site_fract_y
_atom_site_fract_z
Ca1 Ca 0.000 0.000 0.000
Sc1 Sc 0.500 0.500 0.500
Re1 Re 0.750 0.750 0.750
# - space group = F-43m (216)
# - total magnetic moment (μB per formula unit) = 0.0
# - crystal system = cubic

---

--- two ---
# CaScRe, optimized geometry, DFT PBE
data_CaScRe
_symmetry_space_group_name_H-M 'P 1'
_symmetry_Int_Tables_number 1
_cell_length_a 3.301
_cell_length_b 3.301
_cell_length_c 7.423
_cell_angle_alpha 90.00
_cell_angle_beta 90.00
_cell_angle_gamma 120.00
loop_
_symmetry_equiv_pos_as_xyz
'x,y,z'
loop_
_atom_site_label
_atom_site_type_symbol
_atom_site_fract_x
_atom_site_fract_y
_atom_site_fract_z
Ca1 Ca 0.000 0.000 0.000
Sc1 Sc 0.333 0.667 0.556
Re1 Re 0.667 0.333 0.307
# - space group = P3m1 (156)
# - total magnetic moment (μB per formula unit) = 0.0
# - crystal system = trigonal

---

--- three ---
# CaScRe, optimized geometry, DFT PBE
data_CaScRe
_symmetry_space_group_name_H-M 'P 1'
_symmetry_Int_Tables_number 1
_cell_length_a 7.887
_cell_length_b 7.711
_cell_length_c 3.055
_cell_angle_alpha 81.98
_cell_angle_beta 75.47
_cell_angle_gamma 22.55
loop_
_symmetry_equiv_pos_as_xyz
'x,y,z'
loop_
_atom_site_label
_atom_site_type_symbol
_atom_site_fract_x
_atom_site_fract_y
_atom_site_fract_z
Ca1 Ca 0.000 0.000 0.000
Sc1 Sc 0.283 0.283 0.717
Re1 Re 0.654 0.654 0.346
# - space group = Fmm2 (42)
# - total magnetic moment (μB per formula unit) = 0.0
# - crystal system = orthorhombic

---

--- four ---
# CaScRe, optimized geometry, DFT PBE
data_CaScRe
_symmetry_space_group_name_H-M 'P 1'
_symmetry_Int_Tables_number 1
_cell_length_a 6.356
_cell_length_b 6.356
_cell_length_c 6.356
_cell_angle_alpha 148.67
_cell_angle_beta 148.67
_cell_angle_gamma 44.90
loop_
_symmetry_equiv_pos_as_xyz
'x,y,z'
loop_
_atom_site_label
_atom_site_type_symbol
_atom_site_fract_x
_atom_site_fract_y
_atom_site_fract_z
Ca1 Ca 0.000 0.000 0.000
Sc1 Sc 0.269 0.269 0.000
Re1 Re 0.666 0.666 0.000
# - space group = I4mm (107)
# - total magnetic moment (μB per formula unit) = 0.0
# - crystal system = tetragonal

---

Most stable of them? four.

---

--- one ---
# CaSc3Re, optimized geometry, DFT PBE
data_CaSc3Re
_symmetry_space_group_name_H-M 'P 1'
_symmetry_Int_Tables_number 1
_cell_length_a 5.160
_cell_length_b 5.160
_cell_length_c 5.160
_cell_angle_alpha 90.00
_cell_angle_beta 90.00
_cell_angle_gamma 90.00
loop_
_symmetry_equiv_pos_as_xyz
'x,y,z'
loop_
_atom_site_label
_atom_site_type_symbol
_atom_site_fract_x
_atom_site_fract_y
_atom_site_fract_z
Ca1 Ca 0.000 0.000 0.000
Sc1 Sc 0.000 0.500 0.500
Sc2 Sc 0.500 0.000 0.500
Sc3 Sc 0.500 0.500 0.000
Re1 Re 0.500 0.500 0.500
# - space group = Pm-3m (221)
# - total magnetic moment (μB per formula unit) = 0.0
# - crystal system = cubic

---

--- two ---
# CaSc3Re, optimized geometry, DFT PBE
data_CaSc3Re
_symmetry_space_group_name_H-M 'P 1'
_symmetry_Int_Tables_number 1
_cell_length_a 4.741
_cell_length_b 4.741
_cell_length_c 4.741
_cell_angle_alpha 90.00
_cell_angle_beta 90.00
_cell_angle_gamma 90.00
loop_
_symmetry_equiv_pos_as_xyz
'x,y,z'
loop_
_atom_site_label
_atom_site_type_symbol
_atom_site_fract_x
_atom_site_fract_y
_atom_site_fract_z
Ca1 Ca 0.000 0.000 0.000
Sc1 Sc 0.000 0.000 0.500
Sc2 Sc 0.000 0.500 0.000
Sc3 Sc 0.500 0.000 0.000
Re1 Re 0.500 0.500 0.500
# - space group = Pm-3m (221)
# - total magnetic moment (μB per formula unit) = 0.9
# - crystal system = cubic

---

Most stable of them? one.

---

--- one ---
# CaReSe2, optimized geometry, DFT PBE
data_CaReSe2
_symmetry_space_group_name_H-M 'P 1'
_symmetry_Int_Tables_number 1
_cell_length_a 4.802
_cell_length_b 4.802
_cell_length_c 4.802
_cell_angle_alpha 60.00
_cell_angle_beta 60.00
_cell_angle_gamma 60.00
loop_
_symmetry_equiv_pos_as_xyz
'x,y,z'
loop_
_atom_site_label
_atom_site_type_symbol
_atom_site_fract_x
_atom_site_fract_y
_atom_site_fract_z
Ca1 Ca 0.000 0.000 0.000
Re1 Re 0.750 0.750 0.750
Se1 Se 0.250 0.250 0.250
Se2 Se 0.500 0.500 0.500
# - space group = F-43m (216)
# - total magnetic moment (μB per formula unit) = 0.1
# - crystal system = cubic

---

--- two ---
# CaReSe2, optimized geometry, DFT PBE
data_CaReSe2
_symmetry_space_group_name_H-M 'P 1'
_symmetry_Int_Tables_number 1
_cell_length_a 6.911
_cell_length_b 6.911
_cell_length_c 6.911
_cell_angle_alpha 152.25
_cell_angle_beta 148.12
_cell_angle_gamma 42.76
loop_
_symmetry_equiv_pos_as_xyz
'x,y,z'
loop_
_atom_site_label
_atom_site_type_symbol
_atom_site_fract_x
_atom_site_fract_y
_atom_site_fract_z
Ca1 Ca 0.000 0.000 0.000
Re1 Re 0.241 0.741 0.500
Se1 Se 0.390 0.390 0.000
Se2 Se 0.669 0.169 0.500
# - space group = Imm2 (44)
# - total magnetic moment (μB per formula unit) = 0.0
# - crystal system = orthorhombic

---

--- three ---
# CaReSe2, optimized geometry, DFT PBE
data_CaReSe2
_symmetry_space_group_name_H-M 'P 1'
_symmetry_Int_Tables_number 1
_cell_length_a 4.563
_cell_length_b 4.563
_cell_length_c 6.336
_cell_angle_alpha 106.23
_cell_angle_beta 106.23
_cell_angle_gamma 43.71
loop_
_symmetry_equiv_pos_as_xyz
'x,y,z'
loop_
_atom_site_label
_atom_site_type_symbol
_atom_site_fract_x
_atom_site_fract_y
_atom_site_fract_z
Ca1 Ca 0.000 0.000 0.000
Re1 Re 0.727 0.727 0.428
Se1 Se 0.228 0.228 0.729
Se2 Se 0.416 0.416 0.346
# - space group = Cm (8)
# - total magnetic moment (μB per formula unit) = 0.0
# - crystal system = monoclinic

---

Most stable of them? three.

---

--- one ---
# CaReSe, optimized geometry, DFT PBE
data_CaReSe
_symmetry_space_group_name_H-M 'P 1'
_symmetry_Int_Tables_number 1
_cell_length_a 3.455
_cell_length_b 3.455
_cell_length_c 6.169
_cell_angle_alpha 90.00
_cell_angle_beta 90.00
_cell_angle_gamma 120.00
loop_
_symmetry_equiv_pos_as_xyz
'x,y,z'
loop_
_atom_site_label
_atom_site_type_symbol
_atom_site_fract_x
_atom_site_fract_y
_atom_site_fract_z
Ca1 Ca 0.000 0.000 0.000
Re1 Re 0.667 0.333 0.389
Se1 Se 0.333 0.667 0.626
# - space group = P3m1 (156)
# - total magnetic moment (μB per formula unit) = 0.0
# - crystal system = trigonal

---

--- two ---
# CaReSe, optimized geometry, DFT PBE
data_CaReSe
_symmetry_space_group_name_H-M 'P 1'
_symmetry_Int_Tables_number 1
_cell_length_a 4.275
_cell_length_b 4.275
_cell_length_c 3.978
_cell_angle_alpha 90.00
_cell_angle_beta 90.00
_cell_angle_gamma 120.00
loop_
_symmetry_equiv_pos_as_xyz
'x,y,z'
loop_
_atom_site_label
_atom_site_type_symbol
_atom_site_fract_x
_atom_site_fract_y
_atom_site_fract_z
Ca1 Ca 0.000 0.000 0.000
Re1 Re 0.667 0.333 0.500
Se1 Se 0.333 0.667 0.500
# - space group = P-6m2 (187)
# - total magnetic moment (μB per formula unit) = 0.0
# - crystal system = hexagonal

---

Most stable of them? two.